Entry 1:
This record from the Alexandria database describes crystalline Si4HgRu at its relaxed geometry. The functional is PBE-GGA.

Cell lengths 5.114, 5.114, 5.114 Å; angles 60.00, 60.00, 60.00 degrees
Fractional positions:
Si 0.376 0.376 0.376
Si 0.376 0.376 0.871
Si 0.376 0.871 0.376
Si 0.871 0.376 0.376
Hg 0.000 0.000 0.000
Ru 0.750 0.750 0.750

Summary:
* uncorrected formation energy: 607 meV per atom
* Fermi-level density of states: 3.27 states/eV/f.u.
* SG: F-43m
* total moment: 0.0 μB per cell


Entry 2:
This record from the Alexandria database describes crystalline Si2HgRu2 at its relaxed geometry. The functional is PBE-GGA.

Cell lengths 6.669, 6.669, 6.669 Å; angles 148.99, 148.99, 44.43 degrees
Fractional positions:
Si 0.250 0.750 0.500
Si 0.750 0.250 0.500
Hg 0.000 0.000 0.000
Ru 0.381 0.381 0.000
Ru 0.619 0.619 0.000

Summary:
* uncorrected formation energy: -271 meV per atom
* Fermi-level density of states: 1.13 states/eV/f.u.
* SG: I4/mmm
* total moment: 0.0 μB per cell


Entry 3:
This record from the Alexandria database describes crystalline SiHgRu2 at its relaxed geometry. The functional is PBE-GGA.

Cell lengths 9.010, 9.010, 9.010 Å; angles 18.39, 18.39, 18.39 degrees
Fractional positions:
Si 0.000 0.000 0.000
Hg 0.762 0.762 0.762
Ru 0.264 0.264 0.264
Ru 0.520 0.520 0.520

Summary:
* uncorrected formation energy: 270 meV per atom
* Fermi-level density of states: 3.59 states/eV/f.u.
* SG: R3m
* total moment: 0.0 μB per cell


Entry 4:
This record from the Alexandria database describes crystalline SiHg3Ru at its relaxed geometry. The functional is PBE-GGA.

Cell lengths 5.191, 5.191, 5.191 Å; angles 90.00, 90.00, 90.00 degrees
Fractional positions:
Si 0.000 0.000 0.000
Hg 0.000 0.500 0.500
Hg 0.500 0.000 0.500
Hg 0.500 0.500 0.000
Ru 0.500 0.500 0.500

Summary:
* uncorrected formation energy: 1039 meV per atom
* Fermi-level density of states: 4.80 states/eV/f.u.
* SG: Pm-3m
* total moment: 1.2 μB per cell